1.
VASP calculation (PBE-GGA) on GaSnGe2Os after structural relaxation.

As for the crystal system: tetragonal. The calculated formation energy is 1.49 eV per atom.

It has space group P4/mmm (No. 123), with a = 5.247 Å, b = 5.247 Å, c = 5.014 Å, α = 90.00°, β = 90.00° and γ = 90.00°. Symmetry generates all atoms from Ga at (0.000, 0.000, 0.000), Sn at (0.500, 0.500, 0.500), Ge at (0.000, 0.500, 0.500) and Os at (0.500, 0.500, 0.000).

***

2.
VASP calculation (PBE-GGA) on GaGe2TeOs after structural relaxation.

As for the crystal system: tetragonal. The value obtained for the energy relative to the elements, uncorrected is 9.731 eV per formula unit.

It has space group P4/mmm (No. 123), with a = 5.211 Å, b = 5.211 Å, c = 5.216 Å, α = 90.00°, β = 90.00° and γ = 90.00°. Symmetry generates all atoms from Ga at (0.000, 0.000, 0.000), Ge at (0.000, 0.500, 0.500), Te at (0.000, 0.000, 0.500) and Os at (0.500, 0.500, 0.000).

***

3.
VASP calculation (PBE-GGA) on ThGa2GeOs2 after structural relaxation.

As for the crystal system: tetragonal. The calculated formation energy is 0.15 eV per atom.

It has space group P4/mmm (No. 123), with a = 4.579 Å, b = 4.579 Å, c = 5.691 Å, α = 90.00°, β = 90.00° and γ = 90.00°. Symmetry generates all atoms from Th at (0.000, 0.000, 0.000), Ga at (0.500, 0.500, 0.232), Ge at (0.000, 0.000, 0.500) and Os at (0.000, 0.500, 0.500).

***

Result set for E_tot: -4.011 -3.380 -6.608 eV per atom, one per record in the order listed.